Here is a geometry-optimized Sr2TcB structure from Alexandria. Energies are from PBE-GGA.

Unit cell a=10.960 b=10.960 c=4.074 alpha=90.00 beta=90.00 gamma=90.00
Space group I-42d (No. 122)
Inequivalent atoms, fractional coordinates:
Sr (0.064, 0.250, 0.125) (multiplicity 8)
Tc (0.000, 0.000, 0.500) (multiplicity 4)
B (0.000, 0.000, 0.000) (multiplicity 4)

Output
Formation energy from the elements   473.1 meV per atom

Here is a geometry-optimized Sr2Tc2B structure from Alexandria. Energies are from PBE-GGA.

Unit cell a=3.480 b=3.480 c=19.139 alpha=90.00 beta=90.00 gamma=90.00
Space group I4/mmm (No. 139)
Inequivalent atoms, fractional coordinates:
Sr (0.000, 0.000, 0.092) (multiplicity 4)
Tc (0.000, 0.500, 0.250) (multiplicity 4)
B (0.000, 0.000, 0.500) (multiplicity 2)

Output
Energy above the lowest structure with this stoichiometry   0.00 eV per formula unit
Formation energy from the elements   761.6 meV per atom

Here is a geometry-optimized Sr3TcB structure from Alexandria. Energies are from PBE-GGA.

Unit cell a=5.542 b=5.542 c=5.542 alpha=90.00 beta=90.00 gamma=90.00
Space group Pm-3m (No. 221)
Inequivalent atoms, fractional coordinates:
Sr (0.000, 0.000, 0.500) (multiplicity 3)
Tc (0.500, 0.500, 0.500) (multiplicity 1)
B (0.000, 0.000, 0.000) (multiplicity 1)

Output
Energy above the lowest structure with this stoichiometry   0.00 eV per formula unit
Formation energy from the elements   1028.0 meV per atom

Here is a geometry-optimized SrTc2BTe structure from Alexandria. Energies are from PBE-GGA.

Unit cell a=5.340 b=5.340 c=5.939 alpha=90.00 beta=90.00 gamma=90.00
Space group P4/mmm (No. 123)
Inequivalent atoms, fractional coordinates:
Sr (0.000, 0.000, 0.000) (multiplicity 1)
Tc (0.000, 0.500, 0.000) (multiplicity 2)
B (0.500, 0.500, 0.500) (multiplicity 1)
Te (0.000, 0.000, 0.500) (multiplicity 1)

Output
Electronic total energy   -3.4584 eV/atom

Here is a geometry-optimized Sr2ZrTcB structure from Alexandria. Energies are from PBE-GGA.

Unit cell a=5.525 b=5.525 c=4.146 alpha=90.00 beta=90.00 gamma=90.00
Space group P4/mmm (No. 123)
Inequivalent atoms, fractional coordinates:
Sr (0.000, 0.500, 0.000) (multiplicity 2)
Zr (0.000, 0.000, 0.500) (multiplicity 1)
Tc (0.500, 0.500, 0.500) (multiplicity 1)
B (0.500, 0.500, 0.000) (multiplicity 1)

Output
Formation energy from the elements   804.5 meV per atom

Here is a geometry-optimized SrBTe structure from Alexandria. Energies are from PBE-GGA.

Unit cell a=4.611 b=4.838 c=13.898 alpha=90.00 beta=90.00 gamma=90.00
Space group Immm (No. 71)
Inequivalent atoms, fractional coordinates:
Sr (0.000, 0.000, 0.136) (multiplicity 4)
B (0.000, 0.336, 0.500) (multiplicity 4)
Te (0.000, 0.000, 0.374) (multiplicity 4)

Output
Electronic total energy   -4.1433 eV/atom

Here is a geometry-optimized SrB3Te structure from Alexandria. Energies are from PBE-GGA.

Unit cell a=4.576 b=4.576 c=4.576 alpha=90.00 beta=90.00 gamma=90.00
Space group Pm-3m (No. 221)
Inequivalent atoms, fractional coordinates:
Sr (0.000, 0.000, 0.000) (multiplicity 1)
B (0.000, 0.500, 0.500) (multiplicity 3)
Te (0.500, 0.500, 0.500) (multiplicity 1)

Output
Energy above the lowest structure with this stoichiometry   0.00 eV per formula unit

Here is a geometry-optimized SrB3Te structure from Alexandria. Energies are from PBE-GGA.

Unit cell a=5.025 b=5.025 c=5.025 alpha=90.00 beta=90.00 gamma=90.00
Space group Pm-3m (No. 221)
Inequivalent atoms, fractional coordinates:
Sr (0.000, 0.000, 0.000) (multiplicity 1)
B (0.000, 0.000, 0.500) (multiplicity 3)
Te (0.500, 0.500, 0.500) (multiplicity 1)

Output
Energy above the lowest structure with this stoichiometry   5.22 eV per formula unit

Here is a geometry-optimized SrTiB2Te structure from Alexandria. Energies are from PBE-GGA.

Unit cell a=4.507 b=4.507 c=5.234 alpha=90.00 beta=90.00 gamma=90.00
Space group P4/mmm (No. 123)
Inequivalent atoms, fractional coordinates:
Sr (0.000, 0.000, 0.000) (multiplicity 1)
Ti (0.500, 0.500, 0.500) (multiplicity 1)
B (0.000, 0.500, 0.500) (multiplicity 2)
Te (0.500, 0.500, 0.000) (multiplicity 1)

Output
Electronic total energy   -4.8366 eV/atom

Here is a geometry-optimized SrTiB structure from Alexandria. Energies are from PBE-GGA.

Unit cell a=3.118 b=3.416 c=11.743 alpha=98.29 beta=97.14 gamma=90.01
Space group P-1 (No. 2)
Inequivalent atoms, fractional coordinates:
Sr (0.086, 0.331, 0.158) (multiplicity 2)
Ti (0.297, 0.050, 0.601) (multiplicity 2)
B (0.232, 0.481, 0.462) (multiplicity 2)

Output
Energy above the lowest structure with this stoichiometry   0.00 eV per formula unit
Formation energy from the elements   -87.8 meV per atom

Here is a geometry-optimized SrTiB structure from Alexandria. Energies are from PBE-GGA.

Unit cell a=4.059 b=4.333 c=8.538 alpha=85.47 beta=87.02 gamma=79.29
Space group P-1 (No. 2)
Inequivalent atoms, fractional coordinates:
Sr (0.242, 0.226, 0.189) (multiplicity 2)
Ti (0.296, 0.311, 0.572) (multiplicity 2)
B (0.149, 0.841, 0.518) (multiplicity 2)

Output
Energy above the lowest structure with this stoichiometry   0.20 eV per formula unit
Formation energy from the elements   -20.5 meV per atom

Here is a geometry-optimized SrTi2B structure from Alexandria. Energies are from PBE-GGA.

Unit cell a=6.697 b=6.697 c=9.461 alpha=90.00 beta=90.00 gamma=90.00
Space group I4_1/amd (No. 141, origin choice 2)
Inequivalent atoms, fractional coordinates:
Sr (0.000, 0.250, 0.375) (multiplicity 4)
Ti (0.000, 0.000, 0.000) (multiplicity 8)
B (0.000, 0.250, 0.875) (multiplicity 4)

Output
Formation energy from the elements   591.5 meV per atom

Here is a geometry-optimized Sr3TiB structure from Alexandria. Energies are from PBE-GGA.

Unit cell a=5.662 b=5.662 c=5.662 alpha=90.00 beta=90.00 gamma=90.00
Space group Pm-3m (No. 221)
Inequivalent atoms, fractional coordinates:
Sr (0.000, 0.000, 0.500) (multiplicity 3)
Ti (0.500, 0.500, 0.500) (multiplicity 1)
B (0.000, 0.000, 0.000) (multiplicity 1)

Output
Energy above the lowest structure with this stoichiometry   0.00 eV per formula unit
Formation energy from the elements   887.7 meV per atom

Here is a geometry-optimized SrTiB structure from Alexandria. Energies are from PBE-GGA.

Unit cell a=3.290 b=3.290 c=5.658 alpha=90.00 beta=90.00 gamma=90.00
Space group P4/mmm (No. 123)
Inequivalent atoms, fractional coordinates:
Sr (0.000, 0.000, 0.000) (multiplicity 1)
Ti (0.500, 0.500, 0.500) (multiplicity 1)
B (0.000, 0.000, 0.500) (multiplicity 1)

Output
Energy above the lowest structure with this stoichiometry   1.06 eV per formula unit
Formation energy from the elements   265.5 meV per atom

Here is a geometry-optimized SrTiB structure from Alexandria. Energies are from PBE-GGA.

Unit cell a=8.023 b=3.568 c=9.688 alpha=90.00 beta=90.07 gamma=90.00
Space group C2/m (No. 12)
Inequivalent atoms, fractional coordinates:
Sr (0.138, 0.000, 0.182) (multiplicity 4)
Ti (0.140, 0.000, 0.574) (multiplicity 4)
B (0.074, 0.500, 0.439) (multiplicity 4)

Output
Energy above the lowest structure with this stoichiometry   0.10 eV per formula unit
Formation energy from the elements   -54.4 meV per atom

Here is a geometry-optimized SrTi3B structure from Alexandria. Energies are from PBE-GGA.

Unit cell a=4.643 b=4.643 c=4.643 alpha=90.00 beta=90.00 gamma=90.00
Space group Pm-3m (No. 221)
Inequivalent atoms, fractional coordinates:
Sr (0.000, 0.000, 0.000) (multiplicity 1)
Ti (0.000, 0.000, 0.500) (multiplicity 3)
B (0.500, 0.500, 0.500) (multiplicity 1)

Output
Formation energy from the elements   2665.5 meV per atom

Here is a geometry-optimized Sr2TiBW structure from Alexandria. Energies are from PBE-GGA.

Unit cell a=6.064 b=6.064 c=4.030 alpha=90.00 beta=90.00 gamma=90.00
Space group P4/mmm (No. 123)
Inequivalent atoms, fractional coordinates:
Sr (0.000, 0.500, 0.000) (multiplicity 2)
Ti (0.000, 0.000, 0.000) (multiplicity 1)
B (0.000, 0.000, 0.500) (multiplicity 1)
W (0.500, 0.500, 0.500) (multiplicity 1)

Output
Formation energy from the elements   1771.0 meV per atom

Here is a geometry-optimized SrTl2B structure from Alexandria. Energies are from PBE-GGA.

Unit cell a=4.1717 b=4.1717 c=21.0582 alpha=90.00 beta=90.00 gamma=120.00
Space group R3m (No. 160, hexagonal axes)
Inequivalent atoms, fractional coordinates:
Sr (0.0000, 0.0000, 0.0000) (multiplicity 3)
Tl (0.0000, 0.0000, 0.2238) (multiplicity 3)
Tl (0.0000, 0.0000, 0.7936) (multiplicity 3)
B (0.0000, 0.0000, 0.5885) (multiplicity 3)

Output
Energy above the lowest structure with this stoichiometry   1.10 eV per formula unit
Formation energy from the elements   363.5 meV per atom

Here is a geometry-optimized SrTlB structure from Alexandria. Energies are from PBE-GGA.

Unit cell a=3.329 b=5.368 c=8.156 alpha=79.74 beta=89.93 gamma=89.94
Space group P1 (No. 1)
Inequivalent atoms, fractional coordinates:
Sr (0.000, 0.000, 0.000) (multiplicity 1)
Sr (0.000, 0.162, 0.511) (multiplicity 1)
Tl (0.500, 0.570, 0.769) (multiplicity 1)
Tl (0.500, 0.720, 0.358) (multiplicity 1)
B (0.261, 0.436, 0.145) (multiplicity 1)
B (0.752, 0.437, 0.146) (multiplicity 1)

Output
Formation energy from the elements   26.8 meV per atom

Here is a geometry-optimized SrTlB structure from Alexandria. Energies are from PBE-GGA.

Unit cell a=3.335 b=5.357 c=8.550 alpha=90.00 beta=101.19 gamma=90.00
Space group Pm (No. 6)
Inequivalent atoms, fractional coordinates:
Sr (0.000, 0.000, 0.000) (multiplicity 1)
Sr (0.296, 0.500, 0.594) (multiplicity 1)
Tl (0.609, 0.500, 0.219) (multiplicity 1)
Tl (0.707, 0.000, 0.413) (multiplicity 1)
B (0.457, 0.500, 0.920) (multiplicity 1)
B (0.941, 0.500, 0.888) (multiplicity 1)

Output
Formation energy from the elements   -2.2 meV per atom

Here is a geometry-optimized SrTl2B structure from Alexandria. Energies are from PBE-GGA.

Unit cell a=5.613 b=6.008 c=6.865 alpha=89.49 beta=87.95 gamma=65.40
Space group P1 (No. 1)
Inequivalent atoms, fractional coordinates:
Sr (0.000, 0.000, 0.000) (multiplicity 1)
Sr (0.237, 0.498, 0.521) (multiplicity 1)
Tl (0.365, 0.358, 0.999) (multiplicity 1)
Tl (0.537, 0.889, 0.658) (multiplicity 1)
Tl (0.647, 0.673, 0.188) (multiplicity 1)
Tl (0.894, 0.149, 0.499) (multiplicity 1)
B (0.708, 0.461, 0.784) (multiplicity 1)
B (0.931, 0.523, 0.875) (multiplicity 1)

Output
Energy above the lowest structure with this stoichiometry   0.00 eV per formula unit
Formation energy from the elements   88.7 meV per atom

Here is a geometry-optimized SrTl2B structure from Alexandria. Energies are from PBE-GGA.

Unit cell a=4.2383 b=4.2383 c=20.2502 alpha=90.00 beta=90.00 gamma=120.00
Space group R3m (No. 160, hexagonal axes)
Inequivalent atoms, fractional coordinates:
Sr (0.0000, 0.0000, 0.0000) (multiplicity 3)
Tl (0.0000, 0.0000, 0.5561) (multiplicity 3)
Tl (0.0000, 0.0000, 0.7932) (multiplicity 3)
B (0.0000, 0.0000, 0.2522) (multiplicity 3)

Output
Energy above the lowest structure with this stoichiometry   1.11 eV per formula unit
Formation energy from the elements   365.5 meV per atom

Here is a geometry-optimized SrTl2B structure from Alexandria. Energies are from PBE-GGA.

Unit cell a=4.391 b=6.247 c=8.672 alpha=105.64 beta=90.15 gamma=101.36
Space group P1 (No. 1)
Inequivalent atoms, fractional coordinates:
Sr (0.000, 0.000, 0.000) (multiplicity 1)
Sr (0.133, 0.401, 0.650) (multiplicity 1)
Tl (0.404, 0.559, 0.066) (multiplicity 1)
Tl (0.505, 0.997, 0.694) (multiplicity 1)
Tl (0.602, 0.290, 0.305) (multiplicity 1)
Tl (0.976, 0.858, 0.341) (multiplicity 1)
B (0.701, 0.620, 0.537) (multiplicity 1)
B (0.971, 0.818, 0.630) (multiplicity 1)

Output
Energy above the lowest structure with this stoichiometry   0.28 eV per formula unit
Formation energy from the elements   157.9 meV per atom

Here is a geometry-optimized Sr3TlB structure from Alexandria. Energies are from PBE-GGA.

Unit cell a=5.664 b=5.664 c=5.664 alpha=90.00 beta=90.00 gamma=90.00
Space group Pm-3m (No. 221)
Inequivalent atoms, fractional coordinates:
Sr (0.000, 0.000, 0.500) (multiplicity 3)
Tl (0.500, 0.500, 0.500) (multiplicity 1)
B (0.000, 0.000, 0.000) (multiplicity 1)

Output
Energy above the lowest structure with this stoichiometry   0.00 eV per formula unit
Formation energy from the elements   213.1 meV per atom

Here is a geometry-optimized SrTl2B structure from Alexandria. Energies are from PBE-GGA.

Unit cell a=5.865 b=6.148 c=7.166 alpha=68.86 beta=83.33 gamma=64.90
Space group P1 (No. 1)
Inequivalent atoms, fractional coordinates:
Sr (0.000, 0.000, 0.000) (multiplicity 1)
Sr (0.398, 0.245, 0.431) (multiplicity 1)
Tl (0.041, 0.867, 0.535) (multiplicity 1)
Tl (0.342, 0.411, 0.914) (multiplicity 1)
Tl (0.724, 0.584, 0.051) (multiplicity 1)
Tl (0.748, 0.525, 0.554) (multiplicity 1)
B (0.385, 0.808, 0.310) (multiplicity 1)
B (0.489, 0.978, 0.132) (multiplicity 1)

Output
Energy above the lowest structure with this stoichiometry   0.08 eV per formula unit
Formation energy from the elements   109.3 meV per atom

Here is a geometry-optimized SrTlB12 structure from Alexandria. Energies are from PBE-GGA.

Unit cell a=8.456 b=8.456 c=8.456 alpha=90.00 beta=90.00 gamma=90.00
Space group Fm-3m (No. 225)
Inequivalent atoms, fractional coordinates:
Sr (0.000, 0.000, 0.000) (multiplicity 4)
Tl (0.000, 0.000, 0.500) (multiplicity 4)
B (0.101, 0.250, 0.250) (multiplicity 48)

Output
Formation energy from the elements   -98.7 meV per atom

Number 1: magnetization 0.1875 μB per atom. Number 2: magnetization 0.0000 μB per atom. Number 3: magnetization 0.5054 μB per atom. Number 4: magnetization 1.3777 μB per atom. Number 5: magnetization 0.0000 μB per atom. Number 6: magnetization 0.0000 μB per atom. Number 7: magnetization 0.0000 μB per atom. Number 8: magnetization 0.0000 μB per atom. Number 9: magnetization 0.0000 μB per atom. Number 10: magnetization 0.0674 μB per atom. Number 11: magnetization 0.2351 μB per atom. Number 12: magnetization 0.6961 μB per atom. Number 13: magnetization 0.2487 μB per atom. Number 14: magnetization 0.1933 μB per atom. Number 15: magnetization 0.0973 μB per atom. Number 16: magnetization 0.2145 μB per atom. Number 17: magnetization 0.5427 μB per atom. Number 18: magnetization 0.0000 μB per atom. Number 19: magnetization 0.0000 μB per atom. Number 20: magnetization 0.0000 μB per atom. Number 21: magnetization 0.0000 μB per atom. Number 22: magnetization 0.0000 μB per atom. Number 23: magnetization 0.0000 μB per atom. Number 24: magnetization 0.6031 μB per atom. Number 25: magnetization 0.0000 μB per atom. Number 26: magnetization 0.0000 μB per atom.